Compound: Ba2TaPt
Source: the Alexandria database
Functional: PBE
Structure: optimized geometry

Computed properties:
Excess energy over the best structure of this formula in the dataset in meV per atom: 723.5
Energy of formation from the pure elements in eV/atom: 0.783
DFT total energy in eV per atom: -4.652
ρ in g cm⁻³: 9.2

Cell lengths 5.915, 5.915, 5.915 Å; angles 130.40, 130.40, 72.77 degrees
Fractional coordinates of all 4 atoms:
Ta 0.750 0.250 0.500
Ba 0.000 0.000 0.000
Ba 0.250 0.750 0.500
Pt 0.500 0.500 0.000

***

Compound: KAgSb2Se4
Source: the Alexandria database
Functional: PBE
Structure: optimized geometry

Computed properties:
Formation energy (no corrections) in eV per atom: -0.405
DFT total energy in eV per atom: -3.672
ρ in g cm⁻³: 5.2

Cell lengths 4.246, 7.263, 15.278 Å; angles 90.00, 90.00, 107.00 degrees
Fractional coordinates of all 16 atoms:
Sb 0.632 0.264 0.437
Sb 0.632 0.264 0.063
Sb 0.368 0.736 0.563
Sb 0.368 0.736 0.937
K 0.882 0.764 0.250
K 0.118 0.236 0.750
Se 0.732 0.463 0.899
Se 0.268 0.537 0.399
Se 0.557 0.115 0.250
Se 0.000 0.000 0.000
Se 0.268 0.537 0.101
Se 0.732 0.463 0.601
Se 0.000 0.000 0.500
Se 0.443 0.885 0.750
Ag 0.839 0.678 0.750
Ag 0.161 0.322 0.250